The following is a PBE calculation of a relaxed Ho4TlSe6 crystal, from Alexandria.

a b c (Å): 4.1085 7.1089 21.6277
angles (deg): 90.00 90.00 106.80
Fractional positions:
Se: 0.7716 0.5432 0.4191
Se: 0.5000 0.0000 0.0000
Se: 0.3382 0.6765 0.2500
Se: 0.9601 0.9202 0.6537
Se: 0.2284 0.4568 0.5809
Se: 0.7716 0.5432 0.0809
Se: 0.5000 0.0000 0.5000
Se: 0.0399 0.0798 0.3463
Se: 0.0399 0.0798 0.1537
Se: 0.9601 0.9202 0.8463
Se: 0.6618 0.3235 0.7500
Se: 0.2284 0.4568 0.9191
Tl: 0.6629 0.3258 0.2500
Tl: 0.3371 0.6742 0.7500
Ho: 0.4057 0.8114 0.3679
Ho: 0.5943 0.1887 0.8679
Ho: 0.8667 0.7333 0.9593
Ho: 0.1333 0.2667 0.0407
Ho: 0.4057 0.8114 0.1321
Ho: 0.1333 0.2667 0.4593
Ho: 0.5943 0.1887 0.6321
Ho: 0.8667 0.7333 0.5407

Calculated values
As for the volume: 605 Å³/cell. Its density of states at the Fermi level is 2.1 states/eV/f.u. For the uncorrected formation energy, the calculation gives -17.924 eV per formula unit.